A relaxed structure of CrCo2Re. Source: the Alexandria database, functional PBE-GGA.

Summary:
* calculated volume: 47 Å³ per cell
* energy relative to the elements: 37 meV per atom
* relative energy among the computed polymorphs: 56 meV/atom
* crystal system: orthorhombic

extended XYZ file:
```
4
Lattice="2.556 0.000 0.000 0.000 3.663 0.000 0.000 0.000 5.056" Properties=species:S:1:pos:R:3 pbc="T T T"
Cr 0.000 0.000 0.000
Co 1.278 1.831 1.231
Co 1.278 1.831 3.825
Re 0.000 0.000 2.528
```



A relaxed structure of CrCo2Re. Source: the Alexandria database, functional PBE-GGA.

Summary:
* calculated volume: 49 Å³ per cell
* energy relative to the elements: 204 meV per atom
* relative energy among the computed polymorphs: 223 meV/atom
* crystal system: trigonal

extended XYZ file:
```
4
Lattice="1.303 0.752 8.254 -1.303 0.752 8.254 0.000 -1.504 8.254" Properties=species:S:1:pos:R:3 pbc="T T T"
Cr 0.000 0.000 0.000
Co 0.000 0.000 6.274
Co 0.000 0.000 18.489
Re 0.000 0.000 12.382
```



A relaxed structure of CrCoRe. Source: the Alexandria database, functional PBE-GGA.

Summary:
* calculated volume: 38 Å³ per cell
* energy relative to the elements: 160 meV per atom
* relative energy among the computed polymorphs: 97 meV/atom
* crystal system: tetragonal

extended XYZ file:
```
3
Lattice="-1.497 1.497 4.256 1.497 -1.497 4.256 1.497 1.497 -4.256" Properties=species:S:1:pos:R:3 pbc="T T T"
Cr 0.000 0.000 0.000
Co 0.000 0.000 5.616
Re 0.000 0.000 2.863
```



A relaxed structure of Cr2Co8Re. Source: the Alexandria database, functional PBE-GGA.

Summary:
* calculated volume: 125 Å³ per cell
* energy relative to the elements: 210 meV per atom
* crystal system: monoclinic

extended XYZ file:
```
11
Lattice="8.359 -1.258 0.000 8.359 1.258 0.000 -2.160 0.000 5.965" Properties=species:S:1:pos:R:3 pbc="T T T"
Cr 3.077 0.000 0.818
Cr 11.481 0.000 5.148
Co -1.171 0.000 5.283
Co 2.093 0.000 3.133
Co 5.408 0.000 1.235
Co 5.230 0.000 4.539
Co 9.327 0.000 1.427
Co 9.150 0.000 4.730
Co 12.465 0.000 2.833
Co 15.728 0.000 0.682
Re 7.279 0.000 2.983
```



A relaxed structure of CrCoRe. Source: the Alexandria database, functional PBE-GGA.

Summary:
* calculated volume: 74 Å³ per cell
* energy relative to the elements: 63 meV per atom
* relative energy among the computed polymorphs: 0 meV/atom
* crystal system: orthorhombic

extended XYZ file:
```
6
Lattice="1.769 -5.717 0.000 1.769 5.717 0.000 0.000 0.000 3.672" Properties=species:S:1:pos:R:3 pbc="T T T"
Cr 1.769 4.671 2.754
Cr 1.769 -4.671 0.918
Co 1.769 2.852 0.918
Co 1.769 -2.852 2.754
Re 1.769 1.057 2.754
Re 1.769 -1.057 0.918
```



A relaxed structure of CrCo6Re. Source: the Alexandria database, functional PBE-GGA.

Summary:
* calculated volume: 90 Å³ per cell
* energy relative to the elements: 79 meV per atom
* relative energy among the computed polymorphs: 27 meV/atom
* crystal system: orthorhombic

extended XYZ file:
```
8
Lattice="3.538 0.000 0.000 0.000 3.572 3.574 0.000 -3.572 3.574" Properties=species:S:1:pos:R:3 pbc="T T T"
Cr 0.000 0.000 0.000
Co 0.000 -1.825 1.853
Co 0.000 1.825 1.853
Co 0.000 0.000 3.682
Co 1.769 -1.787 3.609
Co 1.769 1.787 3.609
Co 1.769 0.000 5.398
Re 1.769 0.000 1.835
```



A relaxed structure of Cr5Co6Re. Source: the Alexandria database, functional PBE-GGA.

Summary:
* calculated volume: 134 Å³ per cell
* energy relative to the elements: 31 meV per atom
* crystal system: triclinic

extended XYZ file:
```
12
Lattice="4.370 0.000 0.000 -0.003 4.999 0.000 -0.075 -0.006 6.145" Properties=species:S:1:pos:R:3 pbc="T T T"
Cr 0.000 0.000 0.000
Cr 1.437 -0.001 2.044
Cr 1.450 2.498 2.079
Cr 2.842 2.495 4.066
Cr 2.855 4.994 4.101
Co 0.686 1.234 4.074
Co 0.685 3.756 4.075
Co 2.184 1.229 0.000
Co 2.108 3.764 6.144
Co 3.607 1.237 2.070
Co 3.605 3.758 2.070
Re -0.002 2.499 0.000
```



A relaxed structure of CrCo6Re. Source: the Alexandria database, functional PBE-GGA.

Summary:
* calculated volume: 357 Å³ per cell
* energy relative to the elements: 52 meV per atom
* relative energy among the computed polymorphs: 0 meV/atom
* crystal system: orthorhombic

extended XYZ file:
```
32
Lattice="3.552 -5.017 0.000 3.552 5.017 0.000 0.000 0.000 10.027" Properties=species:S:1:pos:R:3 pbc="T T T"
Cr 0.000 0.000 2.463
Cr 0.000 0.000 7.564
Cr 3.552 2.493 0.000
Cr 3.552 -2.493 0.000
Co 0.000 0.000 0.000
Co 0.000 0.000 5.013
Co 1.768 1.257 1.249
Co 1.768 1.257 8.778
Co 1.773 1.251 3.758
Co 1.773 1.251 6.269
Co 3.552 2.520 2.496
Co 3.552 2.520 7.531
Co 1.768 -1.257 1.249
Co 1.768 -1.257 8.778
Co 1.773 -1.251 3.758
Co 1.773 -1.251 6.269
Co 3.552 0.000 0.000
Co 3.552 0.000 5.013
Co 5.332 1.251 3.758
Co 5.332 1.251 6.269
Co 5.336 1.257 1.249
Co 5.336 1.257 8.778
Co 3.552 -2.520 2.496
Co 3.552 -2.520 7.531
Co 5.332 -1.251 3.758
Co 5.332 -1.251 6.269
Co 5.336 -1.257 1.249
Co 5.336 -1.257 8.778
Re 3.552 2.503 5.013
Re 3.552 0.000 2.471
Re 3.552 0.000 7.556
Re 3.552 -2.503 5.013
```